Entry 1:
ReRhPb2: optimized geometry, PBE-GGA.

Results
Energy in eV/atom: -5.969
Energy of formation from the pure elements in eV per atom: 0.835
ΔE to the lowest computed polymorph in eV/atom: 0.504

a b c (Å): 5.3134 5.3134 5.3134
angles (deg): 140.92 120.39 73.61
Fractional coordinates of all 4 atoms:
Re 0.5000 0.0000 0.5000
Rh 0.0000 0.5000 0.5000
Pb 0.7579 0.7579 0.0000
Pb 0.2421 0.2421 0.0000

Entry 2:
ReRh3Pb: optimized geometry, PBE-GGA.

Results
Energy in eV/atom: -6.727
Energy of formation from the pure elements in eV per atom: 0.915
ΔE to the lowest computed polymorph in eV/atom: 0.000

a b c (Å): 4.7621 4.7621 4.7621
angles (deg): 90.00 90.00 90.00
Fractional coordinates of all 5 atoms:
Pb 0.5000 0.5000 0.5000
Re 0.0000 0.0000 0.0000
Rh 0.0000 0.5000 0.0000
Rh 0.0000 0.0000 0.5000
Rh 0.5000 0.0000 0.0000

Entry 3:
ReRhPb2: optimized geometry, PBE-GGA.

Results
Energy in eV/atom: -6.010
Energy of formation from the pure elements in eV per atom: 0.794
ΔE to the lowest computed polymorph in eV/atom: 0.462

a b c (Å): 3.1782 3.1782 8.6890
angles (deg): 90.00 90.00 113.86
Fractional coordinates of all 4 atoms:
Re 0.5000 0.5000 0.5000
Rh 0.5000 0.5000 0.0000
Pb 0.0000 0.0000 0.2433
Pb 0.0000 0.0000 0.7567

Entry 4:
ReRh2Pb: optimized geometry, PBE-GGA.

Results
Energy in eV/atom: -7.407
Energy of formation from the pure elements in eV per atom: 0.308

a b c (Å): 9.3064 9.3064 9.3064
angles (deg): 18.13 18.13 18.13
Fractional coordinates of all 4 atoms:
Re 0.0000 0.0000 0.0000
Rh 0.7425 0.7425 0.7425
Rh 0.2575 0.2575 0.2575
Pb 0.5000 0.5000 0.5000

Entry 5:
ReRh2Pb: optimized geometry, PBE-GGA.

Results
Energy in eV/atom: -7.342
Energy of formation from the pure elements in eV per atom: 0.373

a b c (Å): 4.8810 4.8810 2.8954
angles (deg): 90.00 90.00 107.94
Fractional coordinates of all 4 atoms:
Re 0.5000 0.5000 0.5000
Rh 0.5000 0.0000 0.0000
Rh 0.0000 0.5000 0.0000
Pb 0.0000 0.0000 0.5000

Entry 6:
ReRhPb: optimized geometry, PBE-GGA.

Results
Energy in eV/atom: -7.061
Energy of formation from the pure elements in eV per atom: 0.775
ΔE to the lowest computed polymorph in eV/atom: 0.327

a b c (Å): 4.4109 4.4109 4.4109
angles (deg): 60.00 60.00 60.00
Each line ends with the local moment (μB).
Fractional coordinates of all 3 atoms:
Re 0.5000 0.5000 0.5000  1.56
Rh 0.2500 0.2500 0.2500  0.31
Pb 0.0000 0.0000 0.0000  -0.03